Record 1
Below is a relaxed structure of KGaSi, with properties calculated at the PBE level.

a = 6.8980 Å, b = 6.8980 Å, c = 6.8980 Å
α = 144.69°, β = 116.59°, γ = 74.71°
Fractional coordinates of all 6 atoms:
1 K 0.2496 0.2496 0.0000
2 K 0.7504 0.7504 0.0000
3 Ga 0.3286 0.0000 0.3286
4 Ga 0.6714 0.0000 0.6714
5 Si 0.1615 0.5000 0.6615
6 Si 0.8385 0.5000 0.3385

Values from the calculation:
Spin magnetization: 0.00 Bohr magnetons per cell
Mass density: 2.73 Mg/m³
ΔE_f (raw): -0.1095 eV per atom

=====

Record 2
Below is a relaxed structure of NpNi2Os, with properties calculated at the PBE level.

a = 3.8481 Å, b = 3.8481 Å, c = 3.9713 Å
α = 90.00°, β = 90.00°, γ = 90.00°
Fractional coordinates of all 4 atoms:
1 Np 0.0000 0.0000 0.0000
2 Ni 0.0000 0.5000 0.5000
3 Ni 0.5000 0.0000 0.5000
4 Os 0.5000 0.5000 0.0000

Values from the calculation:
Formation energy from the elements: -22 meV/atom
Spin magnetization: 1.59 Bohr magnetons per cell
Mass density: 15.38 Mg/m³

=====

Record 3
Below is a relaxed structure of DyEr3, with properties calculated at the PBE level.

a = 6.6199 Å, b = 6.6199 Å, c = 6.6199 Å
α = 148.55°, β = 65.55°, γ = 124.11°
Fractional coordinates of all 4 atoms:
1 Dy 0.0000 0.0000 0.0000
2 Er 0.4175 0.6670 0.7505
3 Er 0.4992 0.9992 0.5000
4 Er 0.9166 0.6670 0.2495

Values from the calculation:
Formation energy from the elements: 1 meV/atom
Spin magnetization: 0.00 Bohr magnetons per cell
E above lowest polymorph: 0.00 eV/f.u.
Mass density: 8.90 Mg/m³

=====

Record 4
Below is a relaxed structure of Y3TaO, with properties calculated at the PBE level.

a = 5.4154 Å, b = 5.4154 Å, c = 5.4154 Å
α = 90.00°, β = 90.00°, γ = 90.00°
Fractional coordinates of all 5 atoms:
1 Y 0.0000 0.0000 0.5000
2 Y 0.0000 0.5000 0.0000
3 Y 0.5000 0.0000 0.0000
4 Ta 0.0000 0.0000 0.0000
5 O 0.5000 0.5000 0.5000

Values from the calculation:
Spin magnetization: 0.00 Bohr magnetons per cell
E above lowest polymorph: 8.95 eV/f.u.
Mass density: 4.85 Mg/m³
ΔE_f (raw): 0.8802 eV per atom

=====

Record 5
Below is a relaxed structure of Ti6VIr2, with properties calculated at the PBE level.

a = 7.3966 Å, b = 7.3966 Å, c = 4.2501 Å
α = 106.60°, β = 106.60°, γ = 48.18°
Fractional coordinates of all 9 atoms:
1 Ti 0.0832 0.5875 0.3352
2 Ti 0.2450 0.7550 0.0000
3 Ti 0.4125 0.9168 0.6648
4 Ti 0.5875 0.0832 0.3352
5 Ti 0.7550 0.2450 0.0000
6 Ti 0.9168 0.4125 0.6648
7 V 0.0000 0.0000 0.5000
8 Ir 0.3324 0.3324 0.8323
9 Ir 0.6676 0.6676 0.1677

Values from the calculation:
Formation energy from the elements: -78 meV/atom
Spin magnetization: 0.00 Bohr magnetons per cell
Mass density: 7.29 Mg/m³

=====

Record 6
Below is a relaxed structure of LiTaBr2, with properties calculated at the PBE level.

a = 3.2635 Å, b = 4.2561 Å, c = 7.0559 Å
α = 90.00°, β = 90.00°, γ = 90.00°
Fractional coordinates of all 4 atoms:
1 Li 0.0000 0.0000 0.0000
2 Ta 0.5000 0.0000 0.5000
3 Br 0.0000 0.5000 0.5000
4 Br 0.5000 0.5000 0.0000

Values from the calculation:
Spin magnetization: 2.23 Bohr magnetons per cell
E above lowest polymorph: 1.85 eV/f.u.
Mass density: 5.89 Mg/m³
ΔE_f (raw): 0.1598 eV per atom

=====

Record 7
Below is a relaxed structure of TaNb5W6, with properties calculated at the PBE level.

a = 7.9461 Å, b = 7.9461 Å, c = 7.9461 Å
α = 146.49°, β = 131.83°, γ = 59.95°
Fractional coordinates of all 12 atoms:
1 Ta 0.0000 0.0000 0.0000
2 Nb 0.1661 0.6661 0.5000
3 Nb 0.3332 0.3332 0.0000
4 Nb 0.5000 0.0000 0.5000
5 Nb 0.6668 0.6668 0.0000
6 Nb 0.8339 0.3339 0.5000
7 W 0.0834 0.8333 0.2502
8 W 0.2503 0.5000 0.7503
9 W 0.4169 0.1667 0.2502
10 W 0.5831 0.8333 0.7498
11 W 0.7497 0.5000 0.2497
12 W 0.9166 0.1667 0.7498

Values from the calculation:
Formation energy from the elements: -58 meV/atom
Spin magnetization: 0.00 Bohr magnetons per cell
Mass density: 14.20 Mg/m³

=====

Record 8
Below is a relaxed structure of LiGdLuCr, with properties calculated at the PBE level.

a = 5.0498 Å, b = 5.0498 Å, c = 5.0498 Å
α = 60.00°, β = 60.00°, γ = 60.00°
Fractional coordinates of all 4 atoms:
1 Li 0.0000 0.0000 0.0000
2 Gd 0.7500 0.7500 0.7500
3 Lu 0.2500 0.2500 0.2500
4 Cr 0.5000 0.5000 0.5000

Values from the calculation:
Formation energy from the elements: 161 meV/atom
Spin magnetization: 4.01 Bohr magnetons per cell
Mass density: 7.13 Mg/m³

=====

Record 9
Below is a relaxed structure of Ca2TbPr8, with properties calculated at the PBE level.

a = 9.8408 Å, b = 9.8408 Å, c = 8.2612 Å
α = 103.91°, β = 103.91°, γ = 31.20°
Fractional coordinates of all 11 atoms:
1 Ca 0.1359 0.1359 0.1786
2 Ca 0.8641 0.8641 0.8214
3 Tb 0.5000 0.5000 0.0000
4 Pr 0.0462 0.0462 0.7238
5 Pr 0.2244 0.2244 0.6357
6 Pr 0.3201 0.3201 0.0974
7 Pr 0.4107 0.4107 0.5404
8 Pr 0.5893 0.5893 0.4596
9 Pr 0.6799 0.6799 0.9026
10 Pr 0.7756 0.7756 0.3643
11 Pr 0.9538 0.9538 0.2762

Values from the calculation:
Formation energy from the elements: 47 meV/atom
Spin magnetization: 0.00 Bohr magnetons per cell
Mass density: 5.65 Mg/m³

=====

Record 10
Below is a relaxed structure of Ho3Tm3Tl2, with properties calculated at the PBE level.

a = 4.8044 Å, b = 4.8091 Å, c = 9.6306 Å
α = 90.00°, β = 90.00°, γ = 90.00°
Fractional coordinates of all 8 atoms:
1 Ho 0.0000 0.0000 0.0000
2 Ho 0.0000 0.0000 0.5000
3 Ho 0.5000 0.5000 0.0000
4 Tm 0.5000 0.0000 0.2507
5 Tm 0.5000 0.0000 0.7493
6 Tm 0.5000 0.5000 0.5000
7 Tl 0.0000 0.5000 0.2507
8 Tl 0.0000 0.5000 0.7493

Values from the calculation:
Formation energy from the elements: -166 meV/atom
Spin magnetization: 1.09 Bohr magnetons per cell
E above lowest polymorph: 0.00 eV/f.u.
Mass density: 10.53 Mg/m³

=====

Record 11
Below is a relaxed structure of Ir2WSe, with properties calculated at the PBE level.

a = 4.5014 Å, b = 4.5014 Å, c = 4.5014 Å
α = 60.00°, β = 60.00°, γ = 60.00°
Fractional coordinates of all 4 atoms:
1 Ir 0.2500 0.2500 0.2500
2 Ir 0.7500 0.7500 0.7500
3 W 0.0000 0.0000 0.0000
4 Se 0.5000 0.5000 0.5000

Values from the calculation:
Spin magnetization: 0.00 Bohr magnetons per cell
E above lowest polymorph: 2.56 eV/f.u.
Mass density: 16.66 Mg/m³
ΔE_f (raw): 0.7244 eV per atom

=====

Record 12
Below is a relaxed structure of Na2PmRhO4, with properties calculated at the PBE level.

a = 5.4750 Å, b = 3.3800 Å, c = 5.9703 Å
α = 90.00°, β = 109.08°, γ = 90.00°
Fractional coordinates of all 8 atoms:
1 Na 0.0000 0.0000 0.0000
2 Na 0.5000 0.5000 0.0000
3 Pm 0.0000 0.5000 0.5000
4 Rh 0.5000 0.0000 0.5000
5 O 0.2585 0.0000 0.7271
6 O 0.2991 0.5000 0.2931
7 O 0.7009 0.5000 0.7069
8 O 0.7415 0.0000 0.2729

Values from the calculation:
Spin magnetization: 0.00 Bohr magnetons per cell
Mass density: 5.69 Mg/m³
ΔE_f (raw): -1.8157 eV per atom

=====

Record 13
Below is a relaxed structure of BaCd3Ga, with properties calculated at the PBE level.

a = 8.9255 Å, b = 6.7717 Å, c = 11.0918 Å
α = 90.00°, β = 125.29°, γ = 90.00°
Fractional coordinates of all 20 atoms:
1 Ba 0.2427 0.1909 0.2378
2 Ba 0.2427 0.3091 0.7378
3 Ba 0.7573 0.6909 0.2622
4 Ba 0.7573 0.8091 0.7622
5 Cd 0.0520 0.7009 0.1461
6 Cd 0.0520 0.7991 0.6461
7 Cd 0.2789 0.5685 0.0357
8 Cd 0.2789 0.9315 0.5357
9 Cd 0.4617 0.6960 0.3780
10 Cd 0.4617 0.8040 0.8780
11 Cd 0.5383 0.1960 0.1220
12 Cd 0.5383 0.3040 0.6220
13 Cd 0.7211 0.0685 0.4643
14 Cd 0.7211 0.4315 0.9643
15 Cd 0.9480 0.2009 0.3539
16 Cd 0.9480 0.2991 0.8539
17 Ga 0.2116 0.5403 0.4507
18 Ga 0.2116 0.9597 0.9507
19 Ga 0.7884 0.0403 0.0493
20 Ga 0.7884 0.4597 0.5493

Values from the calculation:
Formation energy from the elements: -243 meV/atom
Spin magnetization: 0.00 Bohr magnetons per cell
E above lowest polymorph: 0.37 eV/f.u.
Mass density: 6.61 Mg/m³

=====

Record 14
Below is a relaxed structure of Tc3MoN, with properties calculated at the PBE level.

a = 4.0503 Å, b = 4.0503 Å, c = 4.0503 Å
α = 90.00°, β = 90.00°, γ = 90.00°
Fractional coordinates of all 5 atoms:
1 Tc 0.0000 0.0000 0.5000
2 Tc 0.0000 0.5000 0.0000
3 Tc 0.5000 0.0000 0.0000
4 Mo 0.5000 0.5000 0.5000
5 N 0.0000 0.0000 0.0000

Values from the calculation:
Spin magnetization: 0.00 Bohr magnetons per cell
E above lowest polymorph: 0.00 eV/f.u.
Mass density: 10.09 Mg/m³
ΔE_f (raw): 0.0084 eV per atom

=====

Record 15
Below is a relaxed structure of ScTeAu2, with properties calculated at the PBE level.

a = 4.6493 Å, b = 4.6493 Å, c = 6.3191 Å
α = 92.01°, β = 92.01°, γ = 51.78°
Fractional coordinates of all 4 atoms:
1 Sc 0.0000 0.0000 0.0000
2 Te 0.3228 0.3228 0.2331
3 Au 0.3766 0.3766 0.6629
4 Au 0.6839 0.6839 0.8118

Values from the calculation:
Spin magnetization: 0.00 Bohr magnetons per cell
Mass density: 8.77 Mg/m³
ΔE_f (raw): -0.5100 eV per atom

=====

Record 16
Below is a relaxed structure of SrSc2Os, with properties calculated at the PBE level.

a = 7.9927 Å, b = 7.9927 Å, c = 7.9927 Å
α = 156.12°, β = 147.57°, γ = 40.67°
Fractional coordinates of all 4 atoms:
1 Sr 0.0000 0.0000 0.0000
2 Sc 0.3197 0.3197 0.0000
3 Sc 0.6804 0.1804 0.5000
4 Os 0.1840 0.6840 0.5000

Values from the calculation:
Formation energy from the elements: 63 meV/atom
Spin magnetization: 0.00 Bohr magnetons per cell
E above lowest polymorph: 0.82 eV/f.u.
Mass density: 5.52 Mg/m³

=====

Record 17
Below is a relaxed structure of Li5Mg2Tl5, with properties calculated at the PBE level.

a = 4.8944 Å, b = 4.8944 Å, c = 13.6226 Å
α = 100.99°, β = 100.99°, γ = 59.94°
Fractional coordinates of all 12 atoms:
1 Li 0.0000 0.0000 0.0000
2 Li 0.1952 0.1952 0.5841
3 Li 0.2788 0.2788 0.8335
4 Li 0.7212 0.7212 0.1665
5 Li 0.8048 0.8048 0.4159
6 Mg 0.4244 0.4244 0.2751
7 Mg 0.5756 0.5756 0.7249
8 Tl 0.1096 0.1096 0.3298
9 Tl 0.3546 0.3546 0.0593
10 Tl 0.5000 0.5000 0.5000
11 Tl 0.6454 0.6454 0.9407
12 Tl 0.8904 0.8904 0.6702

Values from the calculation:
Formation energy from the elements: -144 meV/atom
Spin magnetization: 0.00 Bohr magnetons per cell
Mass density: 6.66 Mg/m³

=====

Record 18
Below is a relaxed structure of PmDyBi, with properties calculated at the PBE level.

a = 6.4351 Å, b = 6.4351 Å, c = 8.5939 Å
α = 116.99°, β = 116.99°, γ = 38.25°
Fractional coordinates of all 6 atoms:
1 Pm 0.0653 0.0653 0.3350
2 Pm 0.9347 0.9347 0.6650
3 Dy 0.3482 0.3482 0.9492
4 Dy 0.6518 0.6518 0.0508
5 Bi 0.3395 0.3395 0.3225
6 Bi 0.6605 0.6605 0.6775

Values from the calculation:
Formation energy from the elements: -516 meV/atom
Spin magnetization: 1.62 Bohr magnetons per cell
E above lowest polymorph: 0.35 eV/f.u.
Mass density: 8.88 Mg/m³

=====

Record 19
Below is a relaxed structure of CeZrSe3, with properties calculated at the PBE level.

a = 8.6854 Å, b = 3.8849 Å, c = 14.4636 Å
α = 90.00°, β = 90.00°, γ = 90.00°
Fractional coordinates of all 20 atoms:
1 Ce 0.1372 0.2500 0.1949
2 Ce 0.3628 0.7500 0.6949
3 Ce 0.6372 0.2500 0.3051
4 Ce 0.8628 0.7500 0.8051
5 Zr 0.1658 0.7500 0.4594
6 Zr 0.3342 0.2500 0.9594
7 Zr 0.6658 0.7500 0.0406
8 Zr 0.8342 0.2500 0.5406
9 Se 0.0124 0.7500 0.6204
10 Se 0.1566 0.2500 0.8018
11 Se 0.1603 0.7500 0.0400
12 Se 0.3397 0.2500 0.5400
13 Se 0.3434 0.7500 0.3018
14 Se 0.4876 0.2500 0.1204
15 Se 0.5124 0.7500 0.8796
16 Se 0.6566 0.2500 0.6982
17 Se 0.6603 0.7500 0.4600
18 Se 0.8397 0.2500 0.9600
19 Se 0.8434 0.7500 0.1982
20 Se 0.9876 0.2500 0.3796

Values from the calculation:
Spin magnetization: 3.78 Bohr magnetons per cell
Mass density: 6.37 Mg/m³
ΔE_f (raw): -1.5586 eV per atom

=====

Record 20
Below is a relaxed structure of Rb2AlB2O6, with properties calculated at the PBE level.

a = 7.0283 Å, b = 7.0283 Å, c = 7.0283 Å
α = 42.74°, β = 42.74°, γ = 42.74°
Fractional coordinates of all 11 atoms:
1 Rb 0.2087 0.2087 0.2087
2 Rb 0.7913 0.7913 0.7913
3 Al 0.0000 0.0000 0.0000
4 B 0.3889 0.3889 0.3889
5 B 0.6111 0.6111 0.6111
6 O 0.2362 0.2362 0.7033
7 O 0.2362 0.7033 0.2362
8 O 0.2967 0.7638 0.7638
9 O 0.7033 0.2362 0.2362
10 O 0.7638 0.2967 0.7638
11 O 0.7638 0.7638 0.2967

Values from the calculation:
Spin magnetization: 0.59 Bohr magnetons per cell
Mass density: 3.62 Mg/m³
ΔE_f (raw): -2.2302 eV per atom

=====

Record 21
Below is a relaxed structure of CdTe2, with properties calculated at the PBE level.

a = 6.3189 Å, b = 6.3189 Å, c = 8.5522 Å
α = 108.45°, β = 108.45°, γ = 40.36°
Fractional coordinates of all 6 atoms:
1 Cd 0.2504 0.2504 0.2501
2 Cd 0.7496 0.7496 0.7499
3 Te 0.1219 0.1219 0.5117
4 Te 0.3781 0.3781 0.9880
5 Te 0.6219 0.6219 0.0120
6 Te 0.8781 0.8781 0.4883

Values from the calculation:
Spin magnetization: 0.00 Bohr magnetons per cell
Mass density: 5.86 Mg/m³
ΔE_f (raw): -0.1485 eV per atom

=====

Record 22
Below is a relaxed structure of Ba2NaNpO6, with properties calculated at the PBE level.

a = 6.1531 Å, b = 6.1531 Å, c = 6.2401 Å
α = 120.21°, β = 120.21°, γ = 59.44°
Fractional coordinates of all 10 atoms:
1 Ba 0.2486 0.2486 0.2565
2 Ba 0.7514 0.7514 0.7435
3 Na 0.5000 0.5000 0.0000
4 Np 0.0000 0.0000 0.5000
5 O 0.1886 0.7248 0.6827
6 O 0.2255 0.2255 0.8032
7 O 0.2752 0.8114 0.3173
8 O 0.7248 0.1886 0.6827
9 O 0.7745 0.7745 0.1968
10 O 0.8114 0.2752 0.3173

Values from the calculation:
Spin magnetization: 0.00 Bohr magnetons per cell
Mass density: 6.32 Mg/m³
ΔE_f (raw): -2.6965 eV per atom